PrHfTl: relaxed, PBE-GGA.

The structure belongs to space group F-43m (No. 216); the cell edges are 7.3011, 7.3011 and 7.3011 Å and the angles 90.00°, 90.00° and 90.00°. The asymmetric unit holds Pr at (0.0000, 0.0000, 0.0000), Hf at (0.2500, 0.2500, 0.7500) and Tl at (0.2500, 0.2500, 0.2500).

For the energy above the most stable polymorph in this dataset, the calculation gives 0.502 eV/atom. As for the raw total energy: -57.61 eV for the cell shown. Its total magnetic moment is 4.6 μB/cell.